Record 1
The following is a DFT calculation (GGA-PBEsol) of a relaxed structure of Mn2AsRu.

Cell: 4.109 4.109 4.109 Å, 60.00 60.00 60.00°
Element x y z (fractional)
Mn1 0.000 0.000 0.000
Mn2 0.250 0.250 0.250
As1 0.500 0.500 0.500
Ru1 0.750 0.750 0.750

Computed properties:
ΔH_f (0 K): -44 meV/atom
total moment: 2.99 μB/f.u.
symmetry: F-43m

Record 2
The following is a DFT calculation (GGA-PBEsol) of a relaxed structure of MnAsRu2.

Cell: 2.733 2.733 8.259 Å, 90.00 90.00 117.47°
Element x y z (fractional)
Mn1 0.000 0.000 0.000
As1 0.500 0.500 0.239
Ru1 0.000 0.000 0.483
Ru2 0.500 0.500 0.753

Computed properties:
ΔH_f (0 K): 447 meV/atom
total moment: 2.61 μB/f.u.
symmetry: Cmm2

Record 3
The following is a DFT calculation (GGA-PBEsol) of a relaxed structure of MnAsRu.

Cell: 6.447 6.447 3.551 Å, 90.00 90.00 120.00°
Element x y z (fractional)
Mn1 0.000 0.405 0.000
Mn2 0.405 0.000 0.000
Mn3 0.595 0.595 0.000
As1 0.000 0.000 0.000
As2 0.333 0.667 0.500
As3 0.667 0.333 0.500
Ru1 0.000 0.742 0.500
Ru2 0.258 0.258 0.500
Ru3 0.742 0.000 0.500

Computed properties:
ΔH_f (0 K): -139 meV/atom
total moment: 3.96 μB/f.u.
symmetry: P-62m

Record 4
The following is a DFT calculation (GGA-PBEsol) of a relaxed structure of Mn2AsS.

Cell: 4.026 4.026 4.026 Å, 60.00 60.00 60.00°
Element x y z (fractional)
Mn1 0.250 0.250 0.250
Mn2 0.750 0.750 0.750
As1 0.000 0.000 0.000
S1 0.500 0.500 0.500

Computed properties:
E_tot: -7.252 eV per atom
total moment: 0.00 μB/f.u.
symmetry: Fm-3m

Record 5
The following is a DFT calculation (GGA-PBEsol) of a relaxed structure of MnAsSe2S.

Cell: 4.938 4.938 4.781 Å, 90.00 90.00 90.00°
Element x y z (fractional)
Mn1 0.000 0.000 0.000
As1 0.000 0.000 0.500
Se1 0.000 0.500 0.500
Se2 0.500 0.000 0.500
S1 0.500 0.500 0.000

Computed properties:
E_tot: -4.546 eV per atom
total moment: 4.78 μB/f.u.
symmetry: P4/mmm

Record 6
The following is a DFT calculation (GGA-PBEsol) of a relaxed structure of MnSi2AsS.

Cell: 4.626 4.626 4.289 Å, 90.00 90.00 90.00°
Element x y z (fractional)
Mn1 0.000 0.000 0.000
Si1 0.000 0.500 0.500
Si2 0.500 0.000 0.500
As1 0.500 0.500 0.000
S1 0.000 0.000 0.500

Computed properties:
E_tot: -5.471 eV per atom
total moment: 3.73 μB/f.u.
symmetry: P4/mmm

Record 7
The following is a DFT calculation (GGA-PBEsol) of a relaxed structure of Mn4Sb3As.

Cell: 3.874 3.874 10.979 Å, 90.00 90.00 120.00°
Element x y z (fractional)
Mn1 0.000 0.000 0.114
Mn2 0.000 0.000 0.373
Mn3 0.000 0.000 0.627
Mn4 0.000 0.000 0.886
Sb1 0.333 0.667 0.500
Sb2 0.667 0.333 0.245
Sb3 0.667 0.333 0.755
As1 0.333 0.667 0.000

Computed properties:
E_tot: -7.216 eV per atom
total moment: 11.13 μB/f.u.
symmetry: P-6m2

Record 8
The following is a DFT calculation (GGA-PBEsol) of a relaxed structure of MnSbAs2.

Cell: 8.793 8.793 8.793 Å, 20.24 20.24 20.24°
Element x y z (fractional)
Mn1 0.000 0.000 0.000
Sb1 0.500 0.500 0.500
As1 0.271 0.271 0.271
As2 0.729 0.729 0.729

Computed properties:
E_tot: -6.073 eV per atom
total moment: 0.29 μB/f.u.
symmetry: R-3m

Record 9
The following is a DFT calculation (GGA-PBEsol) of a relaxed structure of MnSbAs2.

Cell: 4.746 4.746 3.417 Å, 90.00 90.00 90.00°
Element x y z (fractional)
Mn1 0.000 0.000 0.000
Sb1 0.500 0.500 0.000
As1 0.000 0.500 0.500
As2 0.500 0.000 0.500

Computed properties:
E_tot: -5.738 eV per atom
total moment: 3.97 μB/f.u.
symmetry: P4/mmm

Record 10
The following is a DFT calculation (GGA-PBEsol) of a relaxed structure of MnSbAs2.

Cell: 7.256 7.256 7.256 Å, 132.45 132.45 69.52°
Element x y z (fractional)
Mn1 0.000 0.000 0.000
Mn2 0.750 0.250 0.500
Sb1 0.250 0.750 0.500
Sb2 0.500 0.500 0.000
As1 0.076 0.625 0.951
As2 0.375 0.326 0.451
As3 0.674 0.125 0.049
As4 0.875 0.924 0.549

Computed properties:
E_tot: -5.895 eV per atom
total moment: 3.73 μB/f.u.
symmetry: I-42d

Record 11
The following is a DFT calculation (GGA-PBEsol) of a relaxed structure of MnSbAs.

Cell: 6.313 6.313 6.313 Å, 152.62 152.62 39.10°
Element x y z (fractional)
Mn1 0.000 0.000 0.000
Sb1 0.353 0.353 0.000
As1 0.608 0.608 0.000

Computed properties:
E_tot: -6.388 eV per atom
total moment: 0.00 μB/f.u.
symmetry: I4mm

Record 12
The following is a DFT calculation (GGA-PBEsol) of a relaxed structure of MnSbAsSe2.

Cell: 4.758 4.758 4.668 Å, 90.00 90.00 90.00°
Element x y z (fractional)
Mn1 0.000 0.000 0.000
Sb1 0.500 0.500 0.500
As1 0.000 0.000 0.500
Se1 0.000 0.500 0.000
Se2 0.500 0.000 0.000

Computed properties:
E_tot: -5.186 eV per atom
total moment: 3.12 μB/f.u.
symmetry: P4/mmm

Record 13
The following is a DFT calculation (GGA-PBEsol) of a relaxed structure of Mn2ZnSbAs.

Cell: 4.669 4.669 4.623 Å, 90.00 90.00 90.00°
Element x y z (fractional)
Mn1 0.000 0.500 0.000
Mn2 0.500 0.000 0.000
Zn1 0.000 0.000 0.500
Sb1 0.500 0.500 0.500
As1 0.000 0.000 0.000

Computed properties:
E_tot: -5.573 eV per atom
total moment: 7.62 μB/f.u.
symmetry: P4/mmm

Record 14
The following is a DFT calculation (GGA-PBEsol) of a relaxed structure of ScMn2As.

Cell: 4.829 4.829 4.829 Å, 133.95 133.95 67.16°
Element x y z (fractional)
Sc1 0.000 0.000 0.000
Mn1 0.500 0.500 0.000
Mn2 0.750 0.250 0.500
As1 0.250 0.750 0.500

Computed properties:
ΔH_f (0 K): -140 meV/atom
total moment: 4.88 μB/f.u.
symmetry: I-4m2

Record 15
The following is a DFT calculation (GGA-PBEsol) of a relaxed structure of ScMnAs2.

Cell: 3.105 3.644 6.068 Å, 90.00 98.74 90.00°
Element x y z (fractional)
Sc1 0.000 0.000 0.000
Mn1 0.500 0.000 0.500
As1 0.327 0.500 0.743
As2 0.673 0.500 0.257

Computed properties:
ΔH_f (0 K): -415 meV/atom
total moment: 3.12 μB/f.u.
symmetry: P2/m

Record 16
The following is a DFT calculation (GGA-PBEsol) of a relaxed structure of ScMn3As.

Cell: 4.535 4.535 4.535 Å, 90.00 90.00 90.00°
Element x y z (fractional)
Sc1 0.000 0.000 0.000
Mn1 0.000 0.000 0.500
Mn2 0.000 0.500 0.000
Mn3 0.500 0.000 0.000
As1 0.500 0.500 0.500

Computed properties:
ΔH_f (0 K): 1499 meV/atom
total moment: 9.73 μB/f.u.
symmetry: Pm-3m

Record 17
The following is a DFT calculation (GGA-PBEsol) of a relaxed structure of ScMn2As.

Cell: 7.811 7.811 7.811 Å, 22.68 22.68 22.68°
Element x y z (fractional)
Sc1 0.000 0.000 0.000
Mn1 0.493 0.493 0.493
Mn2 0.757 0.757 0.757
As1 0.236 0.236 0.236

Computed properties:
ΔH_f (0 K): 128 meV/atom
total moment: 0.58 μB/f.u.
symmetry: R3m

Record 18
The following is a DFT calculation (GGA-PBEsol) of a relaxed structure of ScMnAs2.

Cell: 4.410 4.410 4.410 Å, 60.00 60.00 60.00°
Element x y z (fractional)
Sc1 0.000 0.000 0.000
Mn1 0.500 0.500 0.500
As1 0.250 0.250 0.250
As2 0.750 0.750 0.750

Computed properties:
ΔH_f (0 K): -343 meV/atom
total moment: 0.38 μB/f.u.
symmetry: Fm-3m

Record 19
The following is a DFT calculation (GGA-PBEsol) of a relaxed structure of ScMnAs.

Cell: 4.185 4.185 4.185 Å, 60.00 60.00 60.00°
Element x y z (fractional)
Sc1 0.000 0.000 0.000
Mn1 0.750 0.750 0.750
As1 0.500 0.500 0.500

Computed properties:
ΔH_f (0 K): -252 meV/atom
total moment: 2.98 μB/f.u.
symmetry: F-43m

Record 20
The following is a DFT calculation (GGA-PBEsol) of a relaxed structure of MnAs2Se.

Cell: 2.827 2.827 8.420 Å, 90.00 90.00 90.00°
Element x y z (fractional)
Mn1 0.000 0.000 0.000
As1 0.000 0.000 0.511
As2 0.500 0.500 0.807
Se1 0.500 0.500 0.162

Computed properties:
E_tot: -5.854 eV per atom
total moment: 0.00 μB/f.u.
symmetry: P4mm